# 1
{
  "formula": "AlZn8Ag2",
  "functional": "PBE",
  "state": "relaxed",
  "cell": [[-1.435, -2.393, -2.538], [3.640, 3.004, -4.892], [5.160, -3.691, 3.366]],
  "species": ["Al", "Ag", "Ag", "Zn", "Zn", "Zn", "Zn", "Zn", "Zn", "Zn", "Zn"],
  "fractional_positions": [[0.500, 0.000, 0.000], [0.225, 0.649, 0.451], [0.775, 0.351, 0.549], [0.680, 0.918, 0.359], [0.041, 0.726, 0.081], [0.136, 0.193, 0.272], [0.320, 0.082, 0.641], [0.959, 0.274, 0.919], [0.864, 0.807, 0.728], [0.590, 0.462, 0.179], [0.410, 0.538, 0.821]],
  "formation_enthalpy_0k_ev_per_atom": 0.014,
  "magmom_total_mub_per_cell": 0.00,
  "e_tot_ev_per_atom": -1.77
}

# 2
{
  "formula": "K4Np3TcN8",
  "functional": "PBE",
  "state": "relaxed",
  "cell": [[6.805, 0.000, 0.000], [0.000, 7.464, 0.442], [-3.403, -3.389, 4.822]],
  "species": ["N", "N", "N", "N", "N", "N", "N", "N", "K", "K", "K", "K", "Tc", "Np", "Np", "Np"],
  "fractional_positions": [[0.781, 0.337, 0.057], [0.219, 0.663, 0.439], [0.276, 0.337, 0.057], [0.781, 0.337, 0.561], [0.724, 0.663, 0.943], [0.721, 0.664, 0.443], [0.219, 0.663, 0.943], [0.279, 0.336, 0.557], [0.500, 0.000, 0.500], [0.500, 0.000, 0.000], [0.000, 0.000, 0.000], [0.000, 0.000, 0.500], [0.000, 0.500, 0.000], [0.500, 0.500, 0.000], [0.500, 0.500, 0.500], [0.000, 0.500, 0.500]],
  "magmom_total_mub_per_cell": 7.17,
  "e_tot_ev_per_atom": -8.08,
  "raw_formation_energy_ev_per_atom": -0.568
}

# 3
{
  "formula": "BeSb2TePt",
  "functional": "PBE",
  "state": "relaxed",
  "cell": [[5.182, 0.000, 0.000], [0.000, 5.182, 0.000], [0.000, 0.000, 5.534]],
  "species": ["Te", "Pt", "Be", "Sb", "Sb"],
  "fractional_positions": [[0.000, 0.000, 0.500], [0.000, 0.000, 0.000], [0.500, 0.500, 0.500], [0.500, 0.000, 0.000], [0.000, 0.500, 0.000]],
  "magmom_total_mub_per_cell": 0.00,
  "e_tot_ev_per_atom": -3.36,
  "raw_formation_energy_ev_per_atom": 0.870
}

# 4
{
  "formula": "Dy3TmS4",
  "functional": "PBE",
  "state": "relaxed",
  "cell": [[-2.748, 1.542, -4.509], [-4.642, 0.311, 2.935], [1.078, 5.271, 1.146]],
  "species": ["Tm", "Dy", "Dy", "Dy", "S", "S", "S", "S"],
  "fractional_positions": [[0.000, 0.000, 0.000], [0.000, 0.500, 0.500], [0.500, 0.500, 0.000], [0.500, 0.000, 0.500], [0.000, 0.000, 0.500], [0.500, 0.500, 0.500], [0.000, 0.500, 0.000], [0.500, 0.000, 0.000]],
  "magmom_total_mub_per_cell": 0.00,
  "e_tot_ev_per_atom": -6.31,
  "raw_formation_energy_ev_per_atom": -1.964
}

# 5
{
  "formula": "PrGdHoPu",
  "functional": "PBE",
  "state": "relaxed",
  "cell": [[5.647, 0.000, 0.000], [2.824, 4.890, 0.000], [2.824, 1.630, 4.611]],
  "species": ["Gd", "Pu", "Ho", "Pr"],
  "fractional_positions": [[0.750, 0.750, 0.750], [0.000, 0.000, 0.000], [0.500, 0.500, 0.500], [0.250, 0.250, 0.250]],
  "formation_enthalpy_0k_ev_per_atom": 0.209,
  "magmom_total_mub_per_cell": 0.24,
  "e_tot_ev_per_atom": -9.23
}

# 6
{
  "formula": "RbYBr2O",
  "functional": "PBE",
  "state": "relaxed",
  "cell": [[-1.443, -3.409, -4.427], [-3.162, -4.037, 4.139], [-4.853, 3.030, -0.752]],
  "species": ["Br", "Br", "O", "Rb", "Y"],
  "fractional_positions": [[0.500, 0.000, 0.000], [0.000, 0.000, 0.500], [0.500, 0.500, 0.500], [0.000, 0.000, 0.000], [0.000, 0.500, 0.000]],
  "magmom_total_mub_per_cell": 0.00,
  "e_tot_ev_per_atom": -2.50,
  "raw_formation_energy_ev_per_atom": 0.651
}

# 7
{
  "formula": "La4Sm3YSe8",
  "functional": "PBE",
  "state": "relaxed",
  "cell": [[8.456, 0.000, 0.000], [0.000, 8.474, 0.007], [-4.228, -4.224, 5.982]],
  "species": ["Se", "Se", "Se", "Se", "Se", "Se", "Se", "Se", "La", "La", "La", "La", "Y", "Sm", "Sm", "Sm"],
  "fractional_positions": [[0.244, 0.737, 0.488], [0.756, 0.263, 0.007], [0.253, 0.260, 0.507], [0.244, 0.737, 0.993], [0.747, 0.740, 0.493], [0.750, 0.737, 0.993], [0.756, 0.263, 0.512], [0.250, 0.263, 0.007], [0.000, 0.000, 0.500], [0.500, 0.000, 0.000], [0.500, 0.000, 0.500], [0.000, 0.000, 0.000], [0.000, 0.500, 0.000], [0.500, 0.500, 0.500], [0.500, 0.500, 0.000], [0.000, 0.500, 0.500]],
  "magmom_total_mub_per_cell": 0.00,
  "e_tot_ev_per_atom": -6.17,
  "raw_formation_energy_ev_per_atom": -1.904
}

# 8
{
  "formula": "Na4InHg",
  "functional": "PBE",
  "state": "relaxed",
  "cell": [[5.901, 0.000, -0.509], [0.000, 8.159, 0.000], [-2.286, -4.079, 7.924]],
  "species": ["Hg", "Hg", "Na", "Na", "Na", "Na", "Na", "Na", "Na", "Na", "In", "In"],
  "fractional_positions": [[0.742, 0.500, 0.000], [0.258, 0.500, 0.000], [0.000, 0.181, 0.000], [0.365, 0.099, 0.729], [0.635, 0.901, 0.271], [0.818, 0.318, 0.636], [0.365, 0.630, 0.729], [0.635, 0.370, 0.271], [0.000, 0.819, 0.000], [0.182, 0.682, 0.364], [0.806, 0.805, 0.610], [0.194, 0.195, 0.390]],
  "formation_enthalpy_0k_ev_per_atom": -0.086,
  "magmom_total_mub_per_cell": 0.00,
  "e_tot_ev_per_atom": -1.47
}

# 9
{
  "formula": "IrBr2N",
  "functional": "PBE",
  "state": "relaxed",
  "cell": [[0.000, 3.166, 3.166], [3.166, 0.000, 3.166], [3.166, 3.166, 0.000]],
  "species": ["N", "Ir", "Br", "Br"],
  "fractional_positions": [[0.000, 0.000, 0.000], [0.500, 0.500, 0.500], [0.250, 0.250, 0.250], [0.750, 0.750, 0.750]],
  "magmom_total_mub_per_cell": 0.00,
  "e_tot_ev_per_atom": -3.13,
  "raw_formation_energy_ev_per_atom": 1.999
}

# 10
{
  "formula": "ScHgTe2",
  "functional": "PBE",
  "state": "relaxed",
  "cell": [[-0.182, -0.179, 3.485], [-1.165, -3.112, -1.081], [9.774, -3.772, 0.318]],
  "species": ["Hg", "Sc", "Te", "Te"],
  "fractional_positions": [[0.500, 0.500, 0.250], [0.500, 0.500, 0.750], [0.000, 0.000, 0.935], [0.000, 0.000, 0.565]],
  "magmom_total_mub_per_cell": 0.00,
  "e_tot_ev_per_atom": -3.81,
  "raw_formation_energy_ev_per_atom": -0.579
}

# 11
{
  "formula": "LiTb3Hg3",
  "functional": "PBE",
  "state": "relaxed",
  "cell": [[7.256, 0.197, 0.074], [0.214, 7.255, 0.074], [0.079, 0.079, 7.084]],
  "species": ["Li", "Li", "Tb", "Tb", "Tb", "Tb", "Tb", "Tb", "Hg", "Hg", "Hg", "Hg", "Hg", "Hg"],
  "fractional_positions": [[0.528, 0.528, 0.197], [0.472, 0.472, 0.803], [0.037, 0.455, 0.245], [0.956, 0.956, 0.252], [0.455, 0.037, 0.245], [0.044, 0.044, 0.748], [0.963, 0.545, 0.755], [0.545, 0.963, 0.755], [0.295, 0.295, 0.547], [0.725, 0.275, 0.500], [0.705, 0.705, 0.453], [0.247, 0.753, 0.000], [0.753, 0.247, 0.000], [0.275, 0.725, 0.500]],
  "formation_enthalpy_0k_ev_per_atom": -0.283,
  "magmom_total_mub_per_cell": 0.00,
  "e_tot_ev_per_atom": -2.67
}

# 12
{
  "formula": "SnP",
  "functional": "PBE",
  "state": "relaxed",
  "cell": [[4.045, 0.000, 0.000], [0.000, 5.336, 0.000], [0.000, 0.000, 14.347]],
  "species": ["P", "P", "P", "P", "P", "P", "Sn", "Sn", "Sn", "Sn", "Sn", "Sn"],
  "fractional_positions": [[0.500, 0.994, 0.845], [0.000, 0.006, 0.345], [0.000, 0.006, 0.655], [0.500, 0.487, 0.500], [0.500, 0.994, 0.155], [0.000, 0.513, 0.000], [0.500, 0.307, 0.314], [0.000, 0.786, 0.500], [0.500, 0.307, 0.686], [0.000, 0.693, 0.186], [0.000, 0.693, 0.814], [0.500, 0.214, 0.000]],
  "formation_enthalpy_0k_ev_per_atom": 0.070,
  "magmom_total_mub_per_cell": 0.00,
  "e_tot_ev_per_atom": -4.64
}